Below is a relaxed MnCr3Bi crystal, with properties calculated at the PBE-GGA level.

symmetry: No. 221
energy relative to the elements: 0.89 eV per atom
crystal system: cubic

Unit cell a=4.5369 b=4.5369 c=4.5369 alpha=90.00 beta=90.00 gamma=90.00
Fractional coordinates of all 5 atoms:
1 Mn 0.0000 0.0000 0.0000
2 Cr 0.0000 0.0000 0.5000
3 Cr 0.0000 0.5000 0.0000
4 Cr 0.5000 0.0000 0.0000
5 Bi 0.5000 0.5000 0.5000

Below is a relaxed YBiSe2F crystal, with properties calculated at the PBE-GGA level.

ΔE to the lowest computed polymorph: 0.00 eV per formula unit
symmetry: No. 123
crystal system: tetragonal

Unit cell a=5.6188 b=5.6188 c=4.3709 alpha=90.00 beta=90.00 gamma=90.00
Fractional coordinates of all 5 atoms:
1 Y 0.0000 0.0000 0.0000
2 Bi 0.5000 0.5000 0.5000
3 Se 0.0000 0.5000 0.5000
4 Se 0.5000 0.0000 0.5000
5 F 0.5000 0.5000 0.0000

Below is a relaxed AcTbPm2 crystal, with properties calculated at the PBE-GGA level.

ΔE to the lowest computed polymorph: 0.00 eV per formula unit
symmetry: No. 123
energy relative to the elements: 0.04 eV per atom
crystal system: tetragonal

Unit cell a=5.2261 b=5.2261 c=5.2768 alpha=90.00 beta=90.00 gamma=90.00
Fractional coordinates of all 4 atoms:
1 Ac 0.0000 0.0000 0.0000
2 Tb 0.5000 0.5000 0.0000
3 Pm 0.0000 0.5000 0.5000
4 Pm 0.5000 0.0000 0.5000

Calculated raw total energy (Ha/atom), listed in the same order as above: -0.2753; -0.1752; -0.1663
Calculated calculated volume (Å³ per cell), listed in the same order as above: 93; 138; 144